The following is a PBE-GGA calculation of crystalline Cd2SiSnBi at its relaxed geometry, from Alexandria via LeMat-Bulk.

Computed properties:
**Volume**: 145.6 Å³ per cell
**Formation energy without anion corrections**: 2.033 eV/f.u.
**Size of the total moment**: 0.00 μB per cell

a b c (Å): 5.0341 5.7473 5.0341
angles (deg): 90.00 90.00 90.00
Closest atoms and distances in Å follow each position.
Fractional coordinates of all 5 atoms:
Si: 0.0000 0.0000 0.0000  4 Cd 2.52
Cd: 0.0000 0.0000 0.5000  2 Si 2.52
Cd: 0.5000 0.0000 0.0000  2 Si 2.52
Bi: 0.0000 0.5000 0.0000  2 Si 2.87
Sn: 0.5000 0.5000 0.5000  4 Bi 3.56, 8 Cd 3.82